No. 1
VASP calculation (PBE-GGA) on a relaxed BaReSe2Br crystal.

abc: 4.9628 4.9628 5.4145
angles: 90.00 90.00 90.00
Atoms (fractional coordinates):
Ba  0.0000  0.0000  0.0000
Re  0.5000  0.5000  0.5000
Se  0.0000  0.5000  0.5000
Se  0.5000  0.0000  0.5000
Br  0.5000  0.5000  0.0000

Calculated values
Its space group is P4/mmm, No. 123. As for the energy above the lowest structure with this stoichiometry: 0.000 kcal/mol of atoms. The calculation puts the calculated density at 7.0 Mg/m³.

No. 2
VASP calculation (PBE-GGA) on a relaxed Ba2ReTcBr crystal.

abc: 6.0523 6.0523 4.7446
angles: 90.00 90.00 90.00
Atoms (fractional coordinates):
Ba  0.0000  0.5000  0.0000
Ba  0.5000  0.0000  0.0000
Re  0.0000  0.0000  0.5000
Tc  0.5000  0.5000  0.0000
Br  0.5000  0.5000  0.5000

Calculated values
Its space group is P4/mmm, No. 123. The calculation puts the calculated density at 6.1 Mg/m³.

Computed energy, in the same sequence as the records: -5.15 -4.42 eV per atom.